No. 1
LuPaCu4 | PBE | optimized geometry

a = 7.337 Å, b = 7.337 Å, c = 7.337 Å
α = 90.00°, β = 90.00°, γ = 90.00°
Space group F-43m (No. 216)
One atom of each set of equivalent atoms:
Lu 0.000 0.000 0.000
Pa 0.250 0.250 0.250
Cu 0.125 0.125 0.625

## Properties
Density = 11101 kg/m³
D(E_F) = 22.0 states/eV/cell
Crystal system = cubic

No. 2
LuPaCuPd | PBE | optimized geometry

a = 6.926 Å, b = 6.926 Å, c = 6.926 Å
α = 90.00°, β = 90.00°, γ = 90.00°
Space group F-43m (No. 216)
One atom of each set of equivalent atoms:
Lu 0.000 0.000 0.000
Pa 0.000 0.000 0.500
Cu 0.250 0.250 0.250
Pd 0.250 0.250 0.750

## Properties
Density = 11513 kg/m³
D(E_F) = 25.4 states/eV/cell
Crystal system = cubic

No. 3
LuPaCuRe | PBE | optimized geometry

a = 6.842 Å, b = 6.842 Å, c = 6.842 Å
α = 90.00°, β = 90.00°, γ = 90.00°
Space group F-43m (No. 216)
One atom of each set of equivalent atoms:
Lu 0.000 0.000 0.000
Pa 0.000 0.000 0.500
Cu 0.250 0.250 0.750
Re 0.250 0.250 0.250

## Properties
Density = 13601 kg/m³
D(E_F) = 22.7 states/eV/cell
Crystal system = cubic

Energy relative to the elements (eV per atom)
-0.055; -0.284; -0.038